# 1
Density functional theory data (PBE) for a geometry-optimized CsGaI structure.

CIF file:
```
data_CsGaI
_cell_length_a 4.951
_cell_length_b 6.016
_cell_length_c 19.404
_cell_angle_alpha 90.00
_cell_angle_beta 90.00
_cell_angle_gamma 90.00
_space_group_name_H-M_alt 'I m m m'
_space_group_IT_number 71
_space_group_name_Hall '-I 2 2'
loop_
_atom_site_label
_atom_site_type_symbol
_atom_site_fract_x
_atom_site_fract_y
_atom_site_fract_z
_atom_site_occupancy
Cs1 Cs 0.000 0.000 0.136 1
Ga1 Ga 0.245 0.000 0.500 1
I1 I 0.000 0.000 0.340 1
```


# 2
Density functional theory data (PBE) for a geometry-optimized CsGa2I3 structure.

CIF file:
```
data_CsGa2I3
_cell_length_a 11.787
_cell_length_b 15.283
_cell_length_c 6.468
_cell_angle_alpha 90.00
_cell_angle_beta 90.00
_cell_angle_gamma 90.00
_space_group_name_H-M_alt 'C m c m'
_space_group_IT_number 63
_space_group_name_Hall '-C 2c 2'
loop_
_atom_site_label
_atom_site_type_symbol
_atom_site_fract_x
_atom_site_fract_y
_atom_site_fract_z
_atom_site_occupancy
Cs1 Cs 0.000 0.166 0.250 1
Ga1 Ga 0.128 0.500 0.000 1
I1 I 0.000 0.329 0.750 1
I2 I 0.195 0.097 0.750 1
```

Calculated values
Energy above the most stable polymorph in this dataset (meV/atom): 54.5


# 3
Density functional theory data (PBE) for a geometry-optimized Cs3Ga2I4 structure.

CIF file:
```
data_Cs3Ga2I4
_cell_length_a 16.020
_cell_length_b 14.315
_cell_length_c 8.653
_cell_angle_alpha 90.00
_cell_angle_beta 99.77
_cell_angle_gamma 90.00
_space_group_name_H-M_alt 'C 1 2/c 1'
_space_group_IT_number 15
_space_group_name_Hall '-C 2yc'
loop_
_atom_site_label
_atom_site_type_symbol
_atom_site_fract_x
_atom_site_fract_y
_atom_site_fract_z
_atom_site_occupancy
Cs1 Cs 0.000 0.117 0.250 1
Cs2 Cs 0.150 0.392 0.632 1
Ga1 Ga 0.228 0.176 0.908 1
I1 I 0.083 0.351 0.066 1
I2 I 0.172 0.055 0.610 1
```


| no. | E_form (uncorrected) (eV per atom) |
| --- | --- |
| 1 | -0.6719 |
| 2 | -0.6542 |
| 3 | -0.9031 |